--- 1 ---
! Ag5Pt7 PBEsol relaxed; values from VASP
&SYSTEM
  ibrav = 0, nat = 12, ntyp = 2
/
ATOMIC_SPECIES
Ag 107.87 Ag.upf
Pt 195.08 Pt.upf
CELL_PARAMETERS angstrom
2.7610 0.0000 0.0000
0.0000 2.7610 0.0000
0.0000 0.0000 24.4555
ATOMIC_POSITIONS crystal
Ag 0.0000 0.0000 0.0000
Ag 0.0000 0.0000 0.1678
Ag 0.0000 0.0000 0.3362
Ag 0.0000 0.0000 0.5044
Ag 0.5000 0.5000 0.9136
Pt 0.0000 0.0000 0.6691
Pt 0.0000 0.0000 0.8293
Pt 0.5000 0.5000 0.0834
Pt 0.5000 0.5000 0.2519
Pt 0.5000 0.5000 0.4204
Pt 0.5000 0.5000 0.5893
Pt 0.5000 0.5000 0.7490
! DOS at the Fermi energy ... 12.2 states/eV per cell
! SG ... P4mm, No. 99
! Volume ... 186.4 Å³/f.u.



--- 2 ---
! Ag5Pt7 PBEsol relaxed; values from VASP
&SYSTEM
  ibrav = 0, nat = 12, ntyp = 2
/
ATOMIC_SPECIES
Ag 107.87 Ag.upf
Pt 195.08 Pt.upf
CELL_PARAMETERS angstrom
2.4256 -4.2176 0.0000
2.4256 4.2176 0.0000
-1.7357 0.0000 9.0882
ATOMIC_POSITIONS crystal
Ag 0.0000 0.0000 0.0000
Ag 0.1674 0.8326 0.5000
Ag 0.2359 0.2359 0.7502
Ag 0.7641 0.7641 0.2498
Ag 0.8326 0.1674 0.5000
Pt 0.1035 0.4340 0.2488
Pt 0.3291 0.6709 0.0000
Pt 0.4340 0.1035 0.2488
Pt 0.5000 0.5000 0.5000
Pt 0.5660 0.8965 0.7512
Pt 0.6709 0.3291 0.0000
Pt 0.8965 0.5660 0.7512
! DOS at the Fermi energy ... 12.4 states/eV per cell
! SG ... C2/m, No. 12
! Volume ... 186.0 Å³/f.u.



--- 3 ---
! Ag5Pt7 PBEsol relaxed; values from VASP
&SYSTEM
  ibrav = 0, nat = 12, ntyp = 2
/
ATOMIC_SPECIES
Ag 107.87 Ag.upf
Pt 195.08 Pt.upf
CELL_PARAMETERS angstrom
4.6371 -4.2333 0.0000
4.6371 4.2333 0.0000
-0.8839 0.0000 4.7412
ATOMIC_POSITIONS crystal
Ag 0.0000 0.0000 0.0000
Ag 0.2523 0.2457 0.7493
Ag 0.6695 0.3305 0.0000
Ag 0.7543 0.7477 0.2507
Ag 0.8365 0.1635 0.5000
Pt 0.0946 0.4207 0.2464
Pt 0.1768 0.8232 0.5000
Pt 0.3308 0.6692 0.0000
Pt 0.4176 0.0819 0.2572
Pt 0.5021 0.4979 0.5000
Pt 0.5793 0.9054 0.7536
Pt 0.9181 0.5824 0.7428
! DOS at the Fermi energy ... 12.0 states/eV per cell
! SG ... C2, No. 5
! Volume ... 186.1 Å³/f.u.



Which of them is least stable? Easy: 2.



--- 1 ---
! Ag5Pt7 PBEsol relaxed; values from VASP
&SYSTEM
  ibrav = 0, nat = 12, ntyp = 2
/
ATOMIC_SPECIES
Ag 107.87 Ag.upf
Pt 195.08 Pt.upf
CELL_PARAMETERS angstrom
6.2479 0.0000 0.0000
0.0000 3.9627 0.0000
-2.4822 0.0000 7.4976
ATOMIC_POSITIONS crystal
Ag 0.0000 0.0000 0.0000
Ag 0.0031 0.5000 0.7510
Ag 0.3330 0.5000 0.0836
Ag 0.6670 0.5000 0.9164
Ag 0.9969 0.5000 0.2490
Pt 0.0000 0.0000 0.5000
Pt 0.3334 0.5000 0.5817
Pt 0.3353 0.0000 0.3396
Pt 0.3401 0.0000 0.8292
Pt 0.6599 0.0000 0.1708
Pt 0.6647 0.0000 0.6604
Pt 0.6666 0.5000 0.4183
! DOS at the Fermi energy ... 11.4 states/eV per cell
! SG ... P2/m, No. 10
! Volume ... 185.6 Å³/f.u.



--- 2 ---
! Ag5Pt7 PBEsol relaxed; values from VASP
&SYSTEM
  ibrav = 0, nat = 12, ntyp = 2
/
ATOMIC_SPECIES
Ag 107.87 Ag.upf
Pt 195.08 Pt.upf
CELL_PARAMETERS angstrom
4.8384 0.0000 0.0000
1.6325 6.0475 0.0000
0.0928 2.6060 6.3555
ATOMIC_POSITIONS crystal
Ag 0.0000 0.0000 0.0000
Ag 0.1720 0.4953 0.1647
Ag 0.2486 0.7510 0.7526
Ag 0.7514 0.2490 0.2474
Ag 0.8280 0.5047 0.8353
Pt 0.0848 0.2531 0.5779
Pt 0.3410 0.9885 0.3362
Pt 0.4153 0.2441 0.9114
Pt 0.5000 0.5000 0.5000
Pt 0.5847 0.7559 0.0886
Pt 0.6590 0.0115 0.6638
Pt 0.9152 0.7469 0.4221
! DOS at the Fermi energy ... 11.4 states/eV per cell
! SG ... P-1, No. 2
! Volume ... 186.0 Å³/f.u.



Which of them is least stable? Easy: 1.



--- 1 ---
! Ag5Pt7 PBEsol relaxed; values from VASP
&SYSTEM
  ibrav = 0, nat = 12, ntyp = 2
/
ATOMIC_SPECIES
Ag 107.87 Ag.upf
Pt 195.08 Pt.upf
CELL_PARAMETERS angstrom
-1.9746 3.9528 5.9532
1.9746 -3.9528 5.9532
1.9746 3.9528 -5.9532
ATOMIC_POSITIONS crystal
Ag 0.0000 0.0000 0.0000
Ag 0.1627 0.6627 0.5000
Ag 0.2515 0.5000 0.7515
Ag 0.7485 0.5000 0.2485
Ag 0.8373 0.3373 0.5000
Pt 0.0889 0.8299 0.2589
Pt 0.3321 0.3321 0.0000
Pt 0.4290 0.1701 0.2589
Pt 0.5000 0.0000 0.5000
Pt 0.5710 0.8299 0.7411
Pt 0.6679 0.6679 0.0000
Pt 0.9111 0.1701 0.7411
! DOS at the Fermi energy ... 11.7 states/eV per cell
! SG ... Immm, No. 71
! Volume ... 185.9 Å³/f.u.



--- 2 ---
! Ag5Pt7 PBEsol relaxed; values from VASP
&SYSTEM
  ibrav = 0, nat = 12, ntyp = 2
/
ATOMIC_SPECIES
Ag 107.87 Ag.upf
Pt 195.08 Pt.upf
CELL_PARAMETERS angstrom
2.7660 0.0000 0.0000
0.0000 8.3780 0.0000
0.0000 0.0000 8.0129
ATOMIC_POSITIONS crystal
Ag 0.0000 0.0000 0.0000
Ag 0.0000 0.3387 0.4949
Ag 0.0000 0.6613 0.4949
Ag 0.5000 0.1650 0.2530
Ag 0.5000 0.8350 0.2530
Pt 0.0000 0.0000 0.5131
Pt 0.0000 0.3297 0.9933
Pt 0.0000 0.6703 0.9933
Pt 0.5000 0.1690 0.7491
Pt 0.5000 0.5000 0.2304
Pt 0.5000 0.5000 0.7534
Pt 0.5000 0.8310 0.7491
! DOS at the Fermi energy ... 10.5 states/eV per cell
! SG ... Pmm2, No. 25
! Volume ... 185.7 Å³/f.u.



Which of them is least stable? Easy: 1.



--- 1 ---
! Ag4Pt5 PBEsol relaxed; values from VASP
&SYSTEM
  ibrav = 0, nat = 9, ntyp = 2
/
ATOMIC_SPECIES
Ag 107.87 Ag.upf
Pt 195.08 Pt.upf
CELL_PARAMETERS angstrom
-4.2285 4.2285 1.9503
4.2285 -4.2285 1.9503
4.2285 4.2285 -1.9503
ATOMIC_POSITIONS crystal
Ag 0.0000 0.3323 0.3323
Ag 0.0000 0.6677 0.6677
Ag 0.3323 0.0000 0.3323
Ag 0.6677 0.0000 0.6677
Pt 0.0000 0.0000 0.0000
Pt 0.3342 0.3342 0.6685
Pt 0.3342 0.6657 0.0000
Pt 0.6657 0.3342 0.0000
Pt 0.6657 0.6657 0.3315
! DOS at the Fermi energy ... 6.6 states/eV per cell
! SG ... I4/mmm, No. 139
! Volume ... 139.5 Å³/f.u.



--- 2 ---
! Ag4Pt5 PBEsol relaxed; values from VASP
&SYSTEM
  ibrav = 0, nat = 9, ntyp = 2
/
ATOMIC_SPECIES
Ag 107.87 Ag.upf
Pt 195.08 Pt.upf
CELL_PARAMETERS angstrom
4.8588 0.0000 0.0000
2.4206 4.2185 0.0000
2.3689 -1.3494 6.8247
ATOMIC_POSITIONS crystal
Ag 0.0000 0.0000 0.0000
Ag 0.1014 0.7731 0.3313
Ag 0.2167 0.5678 0.6642
Ag 0.7697 0.4424 0.3306
Pt 0.3477 0.3235 0.9958
Pt 0.4295 0.1025 0.3324
Pt 0.5449 0.9085 0.6643
Pt 0.6650 0.6719 0.9970
Pt 0.8818 0.2406 0.6674
! DOS at the Fermi energy ... 9.2 states/eV per cell
! SG ... P1, No. 1
! Volume ... 139.9 Å³/f.u.



Which of them is least stable? Easy: 2.



--- 1 ---
! Ag4Pt5 PBEsol relaxed; values from VASP
&SYSTEM
  ibrav = 0, nat = 9, ntyp = 2
/
ATOMIC_SPECIES
Ag 107.87 Ag.upf
Pt 195.08 Pt.upf
CELL_PARAMETERS angstrom
4.4085 -1.9597 0.0000
4.4085 1.9597 0.0000
-2.5972 0.0000 8.0898
ATOMIC_POSITIONS crystal
Ag 0.0000 0.0000 0.0000
Ag 0.0003 0.0003 0.3327
Ag 0.3345 0.3345 0.1119
Ag 0.6653 0.6653 0.8919
Pt 0.3304 0.3304 0.4488
Pt 0.3302 0.3302 0.7711
Pt 0.6642 0.6642 0.5602
Pt 0.6722 0.6722 0.2321
Pt 0.9952 0.9952 0.6628
! DOS at the Fermi energy ... 7.7 states/eV per cell
! SG ... Cm, No. 8
! Volume ... 139.8 Å³/f.u.



--- 2 ---
! Ag4Pt5 PBEsol relaxed; values from VASP
&SYSTEM
  ibrav = 0, nat = 9, ntyp = 2
/
ATOMIC_SPECIES
Ag 107.87 Ag.upf
Pt 195.08 Pt.upf
CELL_PARAMETERS angstrom
4.6150 -1.3804 0.0000
4.6150 1.3804 0.0000
-4.1019 0.0000 10.9836
ATOMIC_POSITIONS crystal
Ag 0.0604 0.0604 0.2224
Ag 0.2791 0.2791 0.1136
Ag 0.7209 0.7209 0.8864
Ag 0.9396 0.9396 0.7776
Pt 0.1565 0.1565 0.6591
Pt 0.3844 0.3844 0.5554
Pt 0.5000 0.5000 0.0000
Pt 0.6156 0.6156 0.4446
Pt 0.8435 0.8435 0.3409
! DOS at the Fermi energy ... 7.9 states/eV per cell
! SG ... C2/m, No. 12
! Volume ... 139.9 Å³/f.u.



Which of them is least stable? Easy: 1.



--- 1 ---
! Ag5Pt6 PBEsol relaxed; values from VASP
&SYSTEM
  ibrav = 0, nat = 11, ntyp = 2
/
ATOMIC_SPECIES
Ag 107.87 Ag.upf
Pt 195.08 Pt.upf
CELL_PARAMETERS angstrom
4.8210 0.0000 0.0000
-0.9264 6.2133 0.0000
-1.6649 -2.1490 5.7134
ATOMIC_POSITIONS crystal
Ag 0.0000 0.0000 0.0000
Ag 0.0975 0.8187 0.3691
Ag 0.3635 0.2735 0.4529
Ag 0.6365 0.7265 0.5471
Ag 0.9025 0.1813 0.6309
Pt 0.1812 0.6378 0.7322
Pt 0.2750 0.4596 0.0845
Pt 0.4532 0.0927 0.8267
Pt 0.5468 0.9073 0.1733
Pt 0.7250 0.5404 0.9155
Pt 0.8188 0.3622 0.2678
! DOS at the Fermi energy ... 9.3 states/eV per cell
! SG ... P-1, No. 2
! Volume ... 171.1 Å³/f.u.



--- 2 ---
! Ag5Pt6 PBEsol relaxed; values from VASP
&SYSTEM
  ibrav = 0, nat = 11, ntyp = 2
/
ATOMIC_SPECIES
Ag 107.87 Ag.upf
Pt 195.08 Pt.upf
CELL_PARAMETERS angstrom
4.8860 0.0000 0.0000
-1.6162 6.0318 0.0000
-0.8200 -2.2119 5.8073
ATOMIC_POSITIONS crystal
Ag 0.0000 0.0000 0.0000
Ag 0.0884 0.3635 0.8204
Ag 0.2702 0.0946 0.4588
Ag 0.6367 0.5462 0.7297
Ag 0.9081 0.6350 0.1845
Pt 0.1831 0.7281 0.6393
Pt 0.3677 0.4596 0.2744
Pt 0.4582 0.8218 0.0963
Pt 0.5398 0.1710 0.9154
Pt 0.7157 0.9115 0.5415
Pt 0.8205 0.2767 0.3638
! DOS at the Fermi energy ... 10.8 states/eV per cell
! SG ... P1, No. 1
! Volume ... 171.2 Å³/f.u.



Which of them is least stable? Easy: 2.